[1]
VASP calculation (PBE) on a relaxed structure of PrSc2Hg3.

Computed properties:
magnetization	0.73	μB per cell
uncorrected energy	-3.490	eV/atom

a b c (Å): 3.5933 3.5933 11.1509
angles (deg): 90.00 90.00 90.00
With the nearest neighbours (Å) after each atom.
Positions (direct):
Pr 0.5000 0.5000 0.5000  8 Hg 3.36, 4 Pr 3.59
Sc 0.5000 0.5000 0.8451  8 Hg 3.03-3.07
Sc 0.5000 0.5000 0.1549  8 Hg 3.03-3.07
Hg 0.0000 0.0000 0.0000  8 Sc 3.07, 2 Hg 3.38
Hg 0.0000 0.0000 0.6972  4 Sc 3.03, 4 Pr 3.36, 1 Hg 3.38
Hg 0.0000 0.0000 0.3028  4 Sc 3.03, 4 Pr 3.36, 1 Hg 3.38

[2]
VASP calculation (PBE) on a relaxed structure of PrSc3Hg4.

Computed properties:
magnetization	1.47	μB per cell
uncorrected energy	-3.535	eV/atom

a b c (Å): 5.0504 7.4181 10.1011
angles (deg): 90.00 90.00 90.00
With the nearest neighbours (Å) after each atom.
Positions (direct):
Pr 0.0000 0.5000 0.0000  8 Hg 3.24, 4 Sc 3.57
Pr 0.0000 0.5000 0.5000  8 Hg 3.24, 4 Sc 3.57
Sc 0.0000 0.0000 0.0000  8 Hg 3.04
Sc 0.0000 0.0000 0.5000  8 Hg 3.04
Sc 0.5005 0.0000 0.7500  8 Hg 3.04
Sc 0.4995 0.0000 0.2500  8 Hg 3.04
Sc 0.5007 0.5000 0.7500  8 Hg 3.24, 4 Pr 3.57
Sc 0.4993 0.5000 0.2500  8 Hg 3.24, 4 Pr 3.57
Hg 0.5000 0.7727 0.0000  6 Sc 3.04-3.24, 2 Pr 3.24, 1 Hg 3.37
Hg 0.5000 0.7727 0.5000  6 Sc 3.04-3.24, 2 Pr 3.24, 1 Hg 3.37
Hg 0.5000 0.2273 0.0000  6 Sc 3.04-3.24, 2 Pr 3.24, 1 Hg 3.37
Hg 0.5000 0.2273 0.5000  6 Sc 3.04-3.24, 2 Pr 3.24, 1 Hg 3.37
Hg 0.0006 0.7727 0.7500  6 Sc 3.04-3.24, 2 Pr 3.24, 1 Hg 3.37
Hg 0.9994 0.7727 0.2500  6 Sc 3.04-3.24, 2 Pr 3.24, 1 Hg 3.37
Hg 0.9994 0.2273 0.2500  6 Sc 3.04-3.24, 2 Pr 3.24, 1 Hg 3.37
Hg 0.0006 0.2273 0.7500  6 Sc 3.04-3.24, 2 Pr 3.24, 1 Hg 3.37

[3]
VASP calculation (PBE) on a relaxed structure of Pr2ScHg.

Computed properties:
magnetization	0.67	μB per cell
uncorrected energy	-4.229	eV/atom

a b c (Å): 3.7602 3.7602 8.4282
angles (deg): 90.00 90.00 90.00
With the nearest neighbours (Å) after each atom.
Positions (direct):
Pr 0.0000 0.0000 0.7605  4 Hg 3.34, 4 Sc 3.45
Pr 0.0000 0.0000 0.2395  4 Hg 3.34, 4 Sc 3.45
Sc 0.5000 0.5000 0.5000  8 Pr 3.45, 4 Sc 3.76
Hg 0.5000 0.5000 0.0000  8 Pr 3.34

[4]
VASP calculation (PBE) on a relaxed structure of PrSc7Hg4.

Computed properties:
magnetization	0.00	μB per cell
uncorrected energy	-4.256	eV/atom

a b c (Å): 5.2722 8.9700 7.0913
angles (deg): 79.16 68.18 72.91
With the nearest neighbours (Å) after each atom.
Positions (direct):
Pr 0.0000 0.0000 0.0000  2 Sc 2.64
Sc 0.7846 0.8741 0.5566  4 Hg 2.96-3.04, 2 Sc 3.06-3.20
Sc 0.2154 0.1259 0.4434  4 Hg 2.96-3.04, 2 Sc 3.06-3.20
Sc 0.0605 0.6195 0.2596  3 Hg 2.93-3.12, 1 Sc 3.06
Sc 0.9395 0.3805 0.7404  3 Hg 2.93-3.12, 1 Sc 3.06
Sc 0.3174 0.6154 0.7498  4 Hg 2.82-3.03
Sc 0.5000 0.0000 0.0000  2 Pr 2.64, 4 Hg 2.88
Sc 0.6826 0.3846 0.2502  4 Hg 2.82-3.03
Hg 0.5776 0.2110 0.6339  7 Sc 2.82-3.12, 1 Hg 3.04
Hg 0.4224 0.7890 0.3661  7 Sc 2.82-3.12, 1 Hg 3.04
Hg 0.6926 0.6707 0.9441  6 Sc 2.88-3.03, 1 Hg 3.04
Hg 0.3074 0.3293 0.0559  6 Sc 2.88-3.03, 1 Hg 3.04

Repeat the second record exactly.
VASP calculation (PBE) on a relaxed structure of PrSc3Hg4.

Computed properties:
magnetization	1.47	μB per cell
uncorrected energy	-3.535	eV/atom

a b c (Å): 5.0504 7.4181 10.1011
angles (deg): 90.00 90.00 90.00
With the nearest neighbours (Å) after each atom.
Positions (direct):
Pr 0.0000 0.5000 0.0000  8 Hg 3.24, 4 Sc 3.57
Pr 0.0000 0.5000 0.5000  8 Hg 3.24, 4 Sc 3.57
Sc 0.0000 0.0000 0.0000  8 Hg 3.04
Sc 0.0000 0.0000 0.5000  8 Hg 3.04
Sc 0.5005 0.0000 0.7500  8 Hg 3.04
Sc 0.4995 0.0000 0.2500  8 Hg 3.04
Sc 0.5007 0.5000 0.7500  8 Hg 3.24, 4 Pr 3.57
Sc 0.4993 0.5000 0.2500  8 Hg 3.24, 4 Pr 3.57
Hg 0.5000 0.7727 0.0000  6 Sc 3.04-3.24, 2 Pr 3.24, 1 Hg 3.37
Hg 0.5000 0.7727 0.5000  6 Sc 3.04-3.24, 2 Pr 3.24, 1 Hg 3.37
Hg 0.5000 0.2273 0.0000  6 Sc 3.04-3.24, 2 Pr 3.24, 1 Hg 3.37
Hg 0.5000 0.2273 0.5000  6 Sc 3.04-3.24, 2 Pr 3.24, 1 Hg 3.37
Hg 0.0006 0.7727 0.7500  6 Sc 3.04-3.24, 2 Pr 3.24, 1 Hg 3.37
Hg 0.9994 0.7727 0.2500  6 Sc 3.04-3.24, 2 Pr 3.24, 1 Hg 3.37
Hg 0.9994 0.2273 0.2500  6 Sc 3.04-3.24, 2 Pr 3.24, 1 Hg 3.37
Hg 0.0006 0.2273 0.7500  6 Sc 3.04-3.24, 2 Pr 3.24, 1 Hg 3.37

Which of these has the lowest magnetization? PrSc7Hg4

What is the formula in the first record? PrSc2Hg3

What is the formula in the fourth record? PrSc7Hg4